[1]
Here is crystalline Ga2Fe2S5 at its relaxed geometry from Alexandria via LeMat-Bulk. Energies are from GGA-PBE.

Geometry as CIF:
```
data_Ga2Fe2S5
_symmetry_space_group_name_H-M 'P 63/m m c'
_symmetry_Int_Tables_number 194
_symmetry_space_group_name_Hall '-P 6c 2c'
_cell_length_a 3.6030
_cell_length_b 3.6030
_cell_length_c 31.5549
_cell_angle_alpha 90.00
_cell_angle_beta 90.00
_cell_angle_gamma 120.00
loop_
_atom_site_label
_atom_site_type_symbol
_atom_site_fract_x
_atom_site_fract_y
_atom_site_fract_z
Ga1 Ga 0.3333 0.6667 0.0940
Fe1 Fe 0.0000 0.0000 0.2051
S1 S 0.3333 0.6667 0.1648
S2 S 0.3333 0.6667 0.5601
S3 S 0.3333 0.6667 0.7500
```

Calculated volume = 19.708 Å³/atom
Raw total energy = -95.22 eV per cell
Uncorrected formation energy = -0.44 eV/atom



[2]
Here is crystalline MnMo2Pt at its relaxed geometry from Alexandria via LeMat-Bulk. Energies are from GGA-PBE.

Geometry as CIF:
```
data_MnMo2Pt
_symmetry_space_group_name_H-M 'P 4 m m'
_symmetry_Int_Tables_number 99
_cell_length_a 2.687
_cell_length_b 2.687
_cell_length_c 8.301
_cell_angle_alpha 90.00
_cell_angle_beta 90.00
_cell_angle_gamma 90.00
loop_
_symmetry_equiv_pos_as_xyz
'x,y,z'
'-y,x,z'
'-x,-y,z'
'y,-x,z'
'-x,y,z'
'y,x,z'
'x,-y,z'
'-y,-x,z'
loop_
_atom_site_label
_atom_site_type_symbol
_atom_site_fract_x
_atom_site_fract_y
_atom_site_fract_z
Mn1 Mn 0.000 0.000 0.000
Mo1 Mo 0.000 0.000 0.515
Mo2 Mo 0.500 0.500 0.240
Pt1 Pt 0.500 0.500 0.763
```

Formation enthalpy at 0 K = -0.024 eV/atom
Calculated volume = 14.980 Å³/atom
Raw total energy = -36.97 eV per cell



[3]
Here is crystalline Ac3Tl2Si at its relaxed geometry from Alexandria via LeMat-Bulk. Energies are from GGA-PBE.

Geometry as CIF:
```
data_Ac3Tl2Si
_symmetry_space_group_name_H-M 'P n m a'
_symmetry_Int_Tables_number 62
_cell_length_a 13.569
_cell_length_b 4.512
_cell_length_c 13.642
_cell_angle_alpha 90.00
_cell_angle_beta 90.00
_cell_angle_gamma 90.00
loop_
_symmetry_equiv_pos_as_xyz
'x,y,z'
'-x,-y,-z'
'-x+1/2,-y,z+1/2'
'x+1/2,y,-z+1/2'
'x+1/2,-y+1/2,-z+1/2'
'-x+1/2,y+1/2,z+1/2'
'-x,y+1/2,-z'
'x,-y+1/2,z'
loop_
_atom_site_label
_atom_site_type_symbol
_atom_site_fract_x
_atom_site_fract_y
_atom_site_fract_z
Ac1 Ac 0.056 0.250 0.124
Ac2 Ac 0.118 0.750 0.541
Ac3 Ac 0.232 0.250 0.783
Tl1 Tl 0.002 0.750 0.304
Tl2 Tl 0.187 0.750 0.987
Si1 Si 0.120 0.250 0.367
```

Calculated volume = 34.799 Å³/atom
Raw total energy = -98.44 eV per cell
Uncorrected formation energy = -0.35 eV/atom



[4]
Here is crystalline CrB2AsI at its relaxed geometry from Alexandria via LeMat-Bulk. Energies are from GGA-PBE.

Geometry as CIF:
```
data_CrB2AsI
_symmetry_space_group_name_H-M 'P 4/m m m'
_symmetry_Int_Tables_number 123
_symmetry_space_group_name_Hall '-P 4 2'
_cell_length_a 4.072
_cell_length_b 4.072
_cell_length_c 5.244
_cell_angle_alpha 90.00
_cell_angle_beta 90.00
_cell_angle_gamma 90.00
loop_
_atom_site_label
_atom_site_type_symbol
_atom_site_fract_x
_atom_site_fract_y
_atom_site_fract_z
Cr1 Cr 0.000 0.000 0.000
B1 B 0.000 0.500 0.000
As1 As 0.500 0.500 0.500
I1 I 0.000 0.000 0.500
```

Calculated volume = 17.389 Å³/atom
Raw total energy = -21.87 eV per cell
Uncorrected formation energy = 1.46 eV/atom



[5]
Here is crystalline CrSb2PtI at its relaxed geometry from Alexandria via LeMat-Bulk. Energies are from GGA-PBE.

Geometry as CIF:
```
data_CrSb2PtI
_symmetry_space_group_name_H-M 'P 4/m m m'
_symmetry_Int_Tables_number 123
_symmetry_space_group_name_Hall '-P 4 2'
_cell_length_a 5.031
_cell_length_b 5.031
_cell_length_c 5.138
_cell_angle_alpha 90.00
_cell_angle_beta 90.00
_cell_angle_gamma 90.00
loop_
_atom_site_label
_atom_site_type_symbol
_atom_site_fract_x
_atom_site_fract_y
_atom_site_fract_z
Cr1 Cr 0.000 0.000 0.000
Sb1 Sb 0.000 0.500 0.000
Pt1 Pt 0.500 0.500 0.500
I1 I 0.000 0.000 0.500
```

Calculated volume = 26.009 Å³/atom
Raw total energy = -21.44 eV per cell
Uncorrected formation energy = 0.80 eV/atom



[6]
Here is crystalline Cd3Pb2Se4I2O12 at its relaxed geometry from Alexandria via LeMat-Bulk. Energies are from GGA-PBE.

Geometry as CIF:
```
data_Cd3Pb2Se4I2O12
_symmetry_space_group_name_H-M 'P 1 2/c 1'
_symmetry_Int_Tables_number 13
_cell_length_a 11.297
_cell_length_b 5.506
_cell_length_c 17.112
_cell_angle_alpha 90.00
_cell_angle_beta 117.89
_cell_angle_gamma 90.00
loop_
_symmetry_equiv_pos_as_xyz
'x,y,z'
'-x,-y,-z'
'-x,y,-z+1/2'
'x,-y,z+1/2'
loop_
_atom_site_label
_atom_site_type_symbol
_atom_site_fract_x
_atom_site_fract_y
_atom_site_fract_z
Cd1 Cd 0.000 0.186 0.250
Cd2 Cd 0.008 0.292 0.594
Pb1 Pb 0.294 0.253 0.503
Se1 Se 0.205 0.237 0.128
Se2 Se 0.231 0.245 0.846
I1 I 0.494 0.240 0.401
O1 O 0.080 0.320 0.154
O2 O 0.139 0.153 0.739
O3 O 0.151 0.034 0.571
O4 O 0.155 0.442 0.039
O5 O 0.156 0.042 0.891
O6 O 0.157 0.490 0.358
```

Calculated volume = 20.450 Å³/atom
Raw total energy = -217.64 eV per cell
Uncorrected formation energy = -0.96 eV/atom